{
  "formula": "LiTi3In",
  "functional": "PBE-GGA",
  "state": "relaxed",
  "cell": [[5.184, 0.000, 0.000], [0.000, 5.184, 0.000], [0.000, 0.000, 5.184]],
  "species": ["Ti", "Ti", "Ti", "Li", "In"],
  "fractional_positions": [[0.000, 0.500, 0.000], [0.000, 0.000, 0.500], [0.500, 0.000, 0.000], [0.500, 0.500, 0.500], [0.000, 0.000, 0.000]],
  "delta_e_f_kj_per_mol_fu": 575,
  "energy_ev_per_cell": -22.37
}

---

{
  "formula": "CePmPb",
  "functional": "PBE-GGA",
  "state": "relaxed",
  "cell": [[3.370, 0.000, 0.000], [0.000, 5.399, 0.000], [0.000, -2.699, 4.675]],
  "species": ["Pb", "Ce", "Pm"],
  "fractional_positions": [[0.668, 0.667, 0.333], [0.167, 0.333, 0.667], [0.165, 0.000, 0.000]],
  "delta_e_f_kj_per_mol_fu": -22,
  "energy_ev_per_cell": -14.62
}

---

{
  "formula": "Cs2PmAg2Te4",
  "functional": "PBE-GGA",
  "state": "relaxed",
  "cell": [[-1.342, -0.244, -4.306], [3.724, -8.394, -0.684], [-7.267, -0.802, 4.679]],
  "species": ["Cs", "Cs", "Pm", "Ag", "Ag", "Te", "Te", "Te", "Te"],
  "fractional_positions": [[0.132, 0.562, 0.264], [0.868, 0.438, 0.736], [0.000, 0.000, 0.000], [0.679, 0.982, 0.358], [0.321, 0.018, 0.642], [0.197, 0.179, 0.393], [0.803, 0.821, 0.607], [0.516, 0.769, 0.031], [0.484, 0.231, 0.969]],
  "raw_formation_energy_kj_per_mol_atoms": -84,
  "energy_ev_per_cell": -32.56
}

---

{
  "formula": "Li3SiCl",
  "functional": "PBE-GGA",
  "state": "relaxed",
  "cell": [[-2.511, -3.142, -2.942], [3.720, 0.130, -3.313], [2.166, -3.866, 2.280]],
  "species": ["Si", "Li", "Li", "Li", "Cl"],
  "fractional_positions": [[0.000, 0.000, 0.000], [0.000, 0.500, 0.000], [0.000, 0.000, 0.500], [0.500, 0.000, 0.000], [0.500, 0.500, 0.500]],
  "raw_formation_energy_kj_per_mol_atoms": -10,
  "energy_ev_per_cell": -13.53
}

---

Number 1: spin magnetization 4.837 μB per formula unit. Number 2: spin magnetization 0.888 μB per formula unit. Number 3: spin magnetization 0.000 μB per formula unit. Number 4: spin magnetization 2.000 μB per formula unit.